--- one ---
# HgSeF, relaxed, DFT PBE-GGA
# Calculated volume = 25.13 A^3/atom
# Mass density = 6.57 g/cm³
# Size of the total moment = 0.00 μB/f.u.
# Space-group type = No. 1
data_HgSeF
_chemical_formula_sum 'Hg2 Se2 F2'
_cell_length_a 4.401
_cell_length_b 5.033
_cell_length_c 9.252
_cell_angle_alpha 96.65
_cell_angle_beta 107.43
_cell_angle_gamma 124.23
_space_group_name_H-M_alt 'P 1'
_space_group_IT_number 1
_space_group_name_Hall 'P 1'
loop_
_atom_site_label
_atom_site_type_symbol
_atom_site_fract_x
_atom_site_fract_y
_atom_site_fract_z
Hg1 Hg 0.701 0.005 0.287
Hg2 Hg 0.984 0.859 0.889
Se1 Se 0.577 0.931 0.673
Se2 Se 0.476 0.569 0.441
F1 F 0.313 0.680 0.000
F2 F 0.269 0.133 0.170



--- two ---
# HgSeF, relaxed, DFT PBE-GGA
# Calculated volume = 19.54 A^3/atom
# Mass density = 8.46 g/cm³
# Size of the total moment = 0.00 μB/f.u.
# Space-group type = No. 71
data_HgSeF
_chemical_formula_sum 'Hg2 Se2 F2'
_cell_length_a 2.974
_cell_length_b 6.349
_cell_length_c 7.130
_cell_angle_alpha 116.44
_cell_angle_beta 102.04
_cell_angle_gamma 90.00
_space_group_name_H-M_alt 'P 1'
_space_group_IT_number 1
_space_group_name_Hall 'P 1'
loop_
_atom_site_label
_atom_site_type_symbol
_atom_site_fract_x
_atom_site_fract_y
_atom_site_fract_z
Hg1 Hg 0.868 0.368 0.735
Hg2 Hg 0.132 0.632 0.265
F1 F 0.500 0.701 0.000
F2 F 0.500 0.299 0.000
Se1 Se 0.179 0.179 0.358
Se2 Se 0.821 0.821 0.642



Last place for stability: two



--- one ---
# HgSeF2, relaxed, DFT PBE-GGA
# Calculated volume = 17.84 A^3/atom
# Mass density = 7.39 g/cm³
# Size of the total moment = 0.00 μB/f.u.
# Space-group type = No. 166
data_HgSeF2
_chemical_formula_sum 'Hg1 Se1 F2'
_cell_length_a 9.044
_cell_length_b 9.044
_cell_length_c 9.044
_cell_angle_alpha 19.40
_cell_angle_beta 19.40
_cell_angle_gamma 19.40
_space_group_name_H-M_alt 'P 1'
_space_group_IT_number 1
_space_group_name_Hall 'P 1'
loop_
_atom_site_label
_atom_site_type_symbol
_atom_site_fract_x
_atom_site_fract_y
_atom_site_fract_z
Hg1 Hg 0.500 0.500 0.500
Se1 Se 0.000 0.000 0.000
F1 F 0.929 0.929 0.929
F2 F 0.071 0.071 0.071



--- two ---
# HgSeF2, relaxed, DFT PBE-GGA
# Calculated volume = 16.08 A^3/atom
# Mass density = 8.20 g/cm³
# Size of the total moment = 2.01 μB/f.u.
# Space-group type = No. 225
data_HgSeF2
_chemical_formula_sum 'Hg1 Se1 F2'
_cell_length_a 4.498
_cell_length_b 4.498
_cell_length_c 4.498
_cell_angle_alpha 60.00
_cell_angle_beta 60.00
_cell_angle_gamma 60.00
_space_group_name_H-M_alt 'P 1'
_space_group_IT_number 1
_space_group_name_Hall 'P 1'
loop_
_atom_site_label
_atom_site_type_symbol
_atom_site_fract_x
_atom_site_fract_y
_atom_site_fract_z
Hg1 Hg 0.500 0.500 0.500
Se1 Se 0.000 0.000 0.000
F1 F 0.250 0.250 0.250
F2 F 0.750 0.750 0.750



--- three ---
# HgSeF2, relaxed, DFT PBE-GGA
# Calculated volume = 16.23 A^3/atom
# Mass density = 8.12 g/cm³
# Size of the total moment = 0.00 μB/f.u.
# Space-group type = No. 166
data_HgSeF2
_chemical_formula_sum 'Hg1 Se1 F2'
_cell_length_a 8.929
_cell_length_b 8.929
_cell_length_c 8.929
_cell_angle_alpha 18.85
_cell_angle_beta 18.85
_cell_angle_gamma 18.85
_space_group_name_H-M_alt 'P 1'
_space_group_IT_number 1
_space_group_name_Hall 'P 1'
loop_
_atom_site_label
_atom_site_type_symbol
_atom_site_fract_x
_atom_site_fract_y
_atom_site_fract_z
Hg1 Hg 0.000 0.000 0.000
Se1 Se 0.500 0.500 0.500
F1 F 0.901 0.901 0.901
F2 F 0.099 0.099 0.099



--- four ---
# HgSeF2, relaxed, DFT PBE-GGA
# Calculated volume = 18.31 A^3/atom
# Mass density = 7.20 g/cm³
# Size of the total moment = 2.00 μB/f.u.
# Space-group type = No. 122
data_HgSeF2
_chemical_formula_sum 'Hg2 Se2 F4'
_cell_length_a 7.166
_cell_length_b 7.166
_cell_length_c 5.814
_cell_angle_alpha 51.96
_cell_angle_beta 51.96
_cell_angle_gamma 90.00
_space_group_name_H-M_alt 'P 1'
_space_group_IT_number 1
_space_group_name_Hall 'P 1'
loop_
_atom_site_label
_atom_site_type_symbol
_atom_site_fract_x
_atom_site_fract_y
_atom_site_fract_z
Hg1 Hg 0.000 0.000 0.000
Hg2 Hg 0.750 0.250 0.500
Se1 Se 0.500 0.500 0.000
Se2 Se 0.250 0.750 0.500
F1 F 0.685 0.125 0.250
F2 F 0.065 0.625 0.250
F3 F 0.375 0.315 0.750
F4 F 0.875 0.935 0.750



Last place for stability: two



--- one ---
# Hg3SeF, relaxed, DFT PBE-GGA
# Calculated volume = 33.25 A^3/atom
# Mass density = 6.99 g/cm³
# Size of the total moment = 0.00 μB/f.u.
# Space-group type = No. 221
data_Hg3SeF
_chemical_formula_sum 'Hg3 Se1 F1'
_cell_length_a 5.499
_cell_length_b 5.499
_cell_length_c 5.499
_cell_angle_alpha 90.00
_cell_angle_beta 90.00
_cell_angle_gamma 90.00
_space_group_name_H-M_alt 'P 1'
_space_group_IT_number 1
_space_group_name_Hall 'P 1'
loop_
_atom_site_label
_atom_site_type_symbol
_atom_site_fract_x
_atom_site_fract_y
_atom_site_fract_z
Hg1 Hg 0.000 0.500 0.000
Hg2 Hg 0.000 0.000 0.500
Hg3 Hg 0.500 0.000 0.000
Se1 Se 0.000 0.000 0.000
F1 F 0.500 0.500 0.500



--- two ---
# Hg3SeF, relaxed, DFT PBE-GGA
# Calculated volume = 24.79 A^3/atom
# Mass density = 9.37 g/cm³
# Size of the total moment = 0.00 μB/f.u.
# Space-group type = No. 221
data_Hg3SeF
_chemical_formula_sum 'Hg3 Se1 F1'
_cell_length_a 4.986
_cell_length_b 4.986
_cell_length_c 4.986
_cell_angle_alpha 90.00
_cell_angle_beta 90.00
_cell_angle_gamma 90.00
_space_group_name_H-M_alt 'P 1'
_space_group_IT_number 1
_space_group_name_Hall 'P 1'
loop_
_atom_site_label
_atom_site_type_symbol
_atom_site_fract_x
_atom_site_fract_y
_atom_site_fract_z
Hg1 Hg 0.000 0.500 0.000
Hg2 Hg 0.000 0.000 0.500
Hg3 Hg 0.500 0.000 0.000
Se1 Se 0.500 0.500 0.500
F1 F 0.000 0.000 0.000



Last place for stability: two



--- one ---
# HgSeF3, relaxed, DFT PBE-GGA
# Calculated volume = 16.95 A^3/atom
# Mass density = 6.59 g/cm³
# Size of the total moment = 0.00 μB/f.u.
# Space-group type = No. 221
data_HgSeF3
_chemical_formula_sum 'Hg1 Se1 F3'
_cell_length_a 4.393
_cell_length_b 4.393
_cell_length_c 4.393
_cell_angle_alpha 90.00
_cell_angle_beta 90.00
_cell_angle_gamma 90.00
_space_group_name_H-M_alt 'P 1'
_space_group_IT_number 1
_space_group_name_Hall 'P 1'
loop_
_atom_site_label
_atom_site_type_symbol
_atom_site_fract_x
_atom_site_fract_y
_atom_site_fract_z
Hg1 Hg 0.500 0.500 0.500
Se1 Se 0.000 0.000 0.000
F1 F 0.000 0.500 0.000
F2 F 0.000 0.000 0.500
F3 F 0.500 0.000 0.000



--- two ---
# HgSeF3, relaxed, DFT PBE-GGA
# Calculated volume = 19.18 A^3/atom
# Mass density = 5.83 g/cm³
# Size of the total moment = 3.00 μB/f.u.
# Space-group type = No. 221
data_HgSeF3
_chemical_formula_sum 'Hg1 Se1 F3'
_cell_length_a 4.577
_cell_length_b 4.577
_cell_length_c 4.577
_cell_angle_alpha 90.00
_cell_angle_beta 90.00
_cell_angle_gamma 90.00
_space_group_name_H-M_alt 'P 1'
_space_group_IT_number 1
_space_group_name_Hall 'P 1'
loop_
_atom_site_label
_atom_site_type_symbol
_atom_site_fract_x
_atom_site_fract_y
_atom_site_fract_z
Hg1 Hg 0.000 0.000 0.000
Se1 Se 0.500 0.500 0.500
F1 F 0.000 0.500 0.000
F2 F 0.000 0.000 0.500
F3 F 0.500 0.000 0.000



Last place for stability: two



--- one ---
# Si3HgF, relaxed, DFT PBE-GGA
# Calculated volume = 26.42 A^3/atom
# Mass density = 3.82 g/cm³
# Size of the total moment = 0.00 μB/f.u.
# Space-group type = No. 221
data_Si3HgF
_chemical_formula_sum 'Si3 Hg1 F1'
_cell_length_a 5.093
_cell_length_b 5.093
_cell_length_c 5.093
_cell_angle_alpha 90.00
_cell_angle_beta 90.00
_cell_angle_gamma 90.00
_space_group_name_H-M_alt 'P 1'
_space_group_IT_number 1
_space_group_name_Hall 'P 1'
loop_
_atom_site_label
_atom_site_type_symbol
_atom_site_fract_x
_atom_site_fract_y
_atom_site_fract_z
Si1 Si 0.000 0.500 0.000
Si2 Si 0.000 0.000 0.500
Si3 Si 0.500 0.000 0.000
Hg1 Hg 0.000 0.000 0.000
F1 F 0.500 0.500 0.500



--- two ---
# Si3HgF, relaxed, DFT PBE-GGA
# Calculated volume = 18.44 A^3/atom
# Mass density = 5.47 g/cm³
# Size of the total moment = 0.00 μB/f.u.
# Space-group type = No. 221
data_Si3HgF
_chemical_formula_sum 'Si3 Hg1 F1'
_cell_length_a 4.518
_cell_length_b 4.518
_cell_length_c 4.518
_cell_angle_alpha 90.00
_cell_angle_beta 90.00
_cell_angle_gamma 90.00
_space_group_name_H-M_alt 'P 1'
_space_group_IT_number 1
_space_group_name_Hall 'P 1'
loop_
_atom_site_label
_atom_site_type_symbol
_atom_site_fract_x
_atom_site_fract_y
_atom_site_fract_z
Si1 Si 0.000 0.500 0.000
Si2 Si 0.000 0.000 0.500
Si3 Si 0.500 0.000 0.000
Hg1 Hg 0.500 0.500 0.500
F1 F 0.000 0.000 0.000



Last place for stability: one



--- one ---
# SiHgF2, relaxed, DFT PBE-GGA
# Calculated volume = 15.82 A^3/atom
# Mass density = 7.00 g/cm³
# Size of the total moment = 0.00 μB/f.u.
# Space-group type = No. 166
data_SiHgF2
_chemical_formula_sum 'Si1 Hg1 F2'
_cell_length_a 8.948
_cell_length_b 8.948
_cell_length_c 8.948
_cell_angle_alpha 18.54
_cell_angle_beta 18.54
_cell_angle_gamma 18.54
_space_group_name_H-M_alt 'P 1'
_space_group_IT_number 1
_space_group_name_Hall 'P 1'
loop_
_atom_site_label
_atom_site_type_symbol
_atom_site_fract_x
_atom_site_fract_y
_atom_site_fract_z
Si1 Si 0.000 0.000 0.000
Hg1 Hg 0.500 0.500 0.500
F1 F 0.937 0.937 0.937
F2 F 0.063 0.063 0.063



--- two ---
# SiHgF2, relaxed, DFT PBE-GGA
# Calculated volume = 15.47 A^3/atom
# Mass density = 7.16 g/cm³
# Size of the total moment = 0.00 μB/f.u.
# Space-group type = No. 225
data_SiHgF2
_chemical_formula_sum 'Si1 Hg1 F2'
_cell_length_a 4.440
_cell_length_b 4.440
_cell_length_c 4.440
_cell_angle_alpha 60.00
_cell_angle_beta 60.00
_cell_angle_gamma 60.00
_space_group_name_H-M_alt 'P 1'
_space_group_IT_number 1
_space_group_name_Hall 'P 1'
loop_
_atom_site_label
_atom_site_type_symbol
_atom_site_fract_x
_atom_site_fract_y
_atom_site_fract_z
Si1 Si 0.000 0.000 0.000
Hg1 Hg 0.500 0.500 0.500
F1 F 0.250 0.250 0.250
F2 F 0.750 0.750 0.750



--- three ---
# SiHgF2, relaxed, DFT PBE-GGA
# Calculated volume = 23.52 A^3/atom
# Mass density = 4.71 g/cm³
# Size of the total moment = 0.00 μB/f.u.
# Space-group type = No. 166
data_SiHgF2
_chemical_formula_sum 'Si1 Hg1 F2'
_cell_length_a 9.057
_cell_length_b 9.057
_cell_length_c 9.057
_cell_angle_alpha 22.33
_cell_angle_beta 22.33
_cell_angle_gamma 22.33
_space_group_name_H-M_alt 'P 1'
_space_group_IT_number 1
_space_group_name_Hall 'P 1'
loop_
_atom_site_label
_atom_site_type_symbol
_atom_site_fract_x
_atom_site_fract_y
_atom_site_fract_z
Si1 Si 0.500 0.500 0.500
Hg1 Hg 0.000 0.000 0.000
F1 F 0.869 0.869 0.869
F2 F 0.131 0.131 0.131



--- four ---
# SiHgF2, relaxed, DFT PBE-GGA
# Calculated volume = 25.10 A^3/atom
# Mass density = 4.41 g/cm³
# Size of the total moment = 0.00 μB/f.u.
# Space-group type = No. 122
data_SiHgF2
_chemical_formula_sum 'Si2 Hg2 F4'
_cell_length_a 6.185
_cell_length_b 6.185
_cell_length_c 6.832
_cell_angle_alpha 63.09
_cell_angle_beta 63.09
_cell_angle_gamma 90.00
_space_group_name_H-M_alt 'P 1'
_space_group_IT_number 1
_space_group_name_Hall 'P 1'
loop_
_atom_site_label
_atom_site_type_symbol
_atom_site_fract_x
_atom_site_fract_y
_atom_site_fract_z
Si1 Si 0.500 0.500 0.000
Si2 Si 0.250 0.750 0.500
Hg1 Hg 0.000 0.000 0.000
Hg2 Hg 0.750 0.250 0.500
F1 F 0.377 0.125 0.250
F2 F 0.373 0.625 0.250
F3 F 0.375 0.623 0.750
F4 F 0.875 0.627 0.750



Last place for stability: two



--- one ---
# Sm2HgF, relaxed, DFT PBE-GGA
# Calculated volume = 22.50 A^3/atom
# Mass density = 9.60 g/cm³
# Size of the total moment = 0.00 μB/f.u.
# Space-group type = No. 123
data_Sm2HgF
_chemical_formula_sum 'Sm2 Hg1 F1'
_cell_length_a 3.357
_cell_length_b 3.357
_cell_length_c 7.987
_cell_angle_alpha 90.00
_cell_angle_beta 90.00
_cell_angle_gamma 90.00
_space_group_name_H-M_alt 'P 1'
_space_group_IT_number 1
_space_group_name_Hall 'P 1'
loop_
_atom_site_label
_atom_site_type_symbol
_atom_site_fract_x
_atom_site_fract_y
_atom_site_fract_z
Hg1 Hg 0.500 0.500 0.500
Sm1 Sm 0.000 0.000 0.767
Sm2 Sm 0.000 0.000 0.233
F1 F 0.500 0.500 0.000



--- two ---
# Sm2HgF, relaxed, DFT PBE-GGA
# Calculated volume = 23.61 A^3/atom
# Mass density = 9.15 g/cm³
# Size of the total moment = 0.00 μB/f.u.
# Space-group type = No. 166
data_Sm2HgF
_chemical_formula_sum 'Sm2 Hg1 F1'
_cell_length_a 3.858
_cell_length_b 3.858
_cell_length_c 7.658
_cell_angle_alpha 75.41
_cell_angle_beta 75.41
_cell_angle_gamma 60.00
_space_group_name_H-M_alt 'P 1'
_space_group_IT_number 1
_space_group_name_Hall 'P 1'
loop_
_atom_site_label
_atom_site_type_symbol
_atom_site_fract_x
_atom_site_fract_y
_atom_site_fract_z
Hg1 Hg 0.500 0.500 0.500
Sm1 Sm 0.730 0.730 0.810
Sm2 Sm 0.270 0.270 0.190
F1 F 0.000 0.000 0.000



Last place for stability: one



--- one ---
# SnHgF, relaxed, DFT PBE-GGA
# Calculated volume = 29.69 A^3/atom
# Mass density = 6.31 g/cm³
# Size of the total moment = 0.00 μB/f.u.
# Space-group type = No. 107
data_SnHgF
_chemical_formula_sum 'Sn1 Hg1 F1'
_cell_length_a 4.261
_cell_length_b 4.261
_cell_length_c 5.757
_cell_angle_alpha 111.72
_cell_angle_beta 111.72
_cell_angle_gamma 90.00
_space_group_name_H-M_alt 'P 1'
_space_group_IT_number 1
_space_group_name_Hall 'P 1'
loop_
_atom_site_label
_atom_site_type_symbol
_atom_site_fract_x
_atom_site_fract_y
_atom_site_fract_z
Hg1 Hg 0.029 0.029 0.058
Sn1 Sn 0.515 0.515 0.029
F1 F 0.307 0.307 0.613



--- two ---
# SnHgF, relaxed, DFT PBE-GGA
# Calculated volume = 23.49 A^3/atom
# Mass density = 7.97 g/cm³
# Size of the total moment = 0.00 μB/f.u.
# Space-group type = No. 2
data_SnHgF
_chemical_formula_sum 'Sn2 Hg2 F2'
_cell_length_a 3.255
_cell_length_b 7.463
_cell_length_c 6.286
_cell_angle_alpha 76.33
_cell_angle_beta 75.34
_cell_angle_gamma 76.25
_space_group_name_H-M_alt 'P 1'
_space_group_IT_number 1
_space_group_name_Hall 'P 1'
loop_
_atom_site_label
_atom_site_type_symbol
_atom_site_fract_x
_atom_site_fract_y
_atom_site_fract_z
F1 F 0.258 0.501 0.812
F2 F 0.742 0.499 0.188
Sn1 Sn 0.126 0.240 0.057
Sn2 Sn 0.874 0.760 0.943
Hg1 Hg 0.888 0.822 0.420
Hg2 Hg 0.112 0.178 0.580



Last place for stability: one